Here is a relaxed structure of Cs2TiFe from Alexandria via LeMat-Bulk. Energies are from PBE-GGA.

Summary:
M_tot: 0.00 μB per formula unit
Fermi-level density of states: 6.03 states/eV/f.u.
Energy relative to the elements: 211.09 kJ/mol of atoms
VASP energy: -2.328 eV per atom

Lattice parameters (Å, degrees): 7.598 7.598 7.598 90.00 90.00 90.00
Space group Fm-3m (No. 225)
Inequivalent atoms, fractional coordinates:
Cs (0.250, 0.250, 0.250) [8 per cell]
Ti (0.000, 0.000, 0.000) [4 per cell]
Fe (0.000, 0.000, 0.500) [4 per cell]

Here is a relaxed structure of La2Dy3Co2 from Alexandria via LeMat-Bulk. Energies are from PBE-GGA.

Summary:
M_tot: 0.00 μB per formula unit
Fermi-level density of states: 7.04 states/eV/f.u.
Energy relative to the elements: -14.27 kJ/mol of atoms
VASP energy: -5.558 eV per atom

Lattice parameters (Å, degrees): 12.230 3.687 9.112 90.00 115.37 90.00
Space group C2/m (No. 12)
Inequivalent atoms, fractional coordinates:
La (0.174, 0.000, 0.299) [4 per cell]
Dy (0.000, 0.500, 0.500) [2 per cell]
Dy (0.119, 0.500, 0.918) [4 per cell]
Co (0.183, 0.000, 0.745) [4 per cell]

Here is a relaxed structure of CsRb2HgBr5 from Alexandria via LeMat-Bulk. Energies are from PBE-GGA.

Summary:
M_tot: 0.00 μB per formula unit
VASP energy: -2.587 eV per atom
Energy relative to the elements, uncorrected: -1.314 eV per atom

Lattice parameters (Å, degrees): 5.552 8.117 16.487 90.00 90.00 90.00
Space group Immm (No. 71)
Inequivalent atoms, fractional coordinates:
Cs (0.000, 0.000, 0.000) [2 per cell]
Rb (0.000, 0.500, 0.205) [4 per cell]
Hg (0.000, 0.000, 0.500) [2 per cell]
Br (0.000, 0.246, 0.374) [8 per cell]
Br (0.000, 0.500, 0.000) [2 per cell]

Here is a relaxed structure of BaSnHgAu from Alexandria via LeMat-Bulk. Energies are from PBE-GGA.

Summary:
M_tot: 0.00 μB per formula unit
Fermi-level density of states: 2.65 states/eV/f.u.
Energy relative to the elements: -42.08 kJ/mol of atoms
VASP energy: -2.812 eV per atom

Lattice parameters (Å, degrees): 7.683 7.683 7.683 90.00 90.00 90.00
Space group F-43m (No. 216)
Inequivalent atoms, fractional coordinates:
Ba (0.000, 0.000, 0.000) [4 per cell]
Sn (0.000, 0.000, 0.500) [4 per cell]
Hg (0.250, 0.250, 0.250) [4 per cell]
Au (0.250, 0.250, 0.750) [4 per cell]